Ta2Ti | Alexandria | PBE | optimized geometry; crystal system = cubic; VASP energy = -10.262 eV per atom
1.0
0.000 3.858 3.858
3.858 0.000 3.858
3.858 3.858 0.000
Ta Ti
4 2
Direct
0.000 0.000 0.000
0.000 0.000 0.500
0.000 0.500 0.000
0.500 0.000 0.000
0.375 0.375 0.375
0.625 0.625 0.625